VASP calculation (PBE-GGA) on a geometry-optimized Ba2OsPb structure.

```
Ba2OsPb
1.0
4.698 0.000 0.000
0.000 5.017 0.000
0.000 0.000 12.224
Ba Os Pb
4 2 2
direct
0.000 0.000 0.000
0.000 0.500 0.500
0.500 0.000 0.283
0.500 0.500 0.783
0.000 0.000 0.696
0.000 0.500 0.196
0.500 0.000 0.583
0.500 0.500 0.083
```

* E_form: 1.051 eV per formula unit
* electronic total energy: -4.43 eV/atom
* ρ: 7.75 Mg/m³
* SG: Amm2, No. 38

VASP calculation (PBE-GGA) on a geometry-optimized BaSiOsPb2 structure.

```
BaSiOsPb2
1.0
6.185 0.000 0.000
0.000 6.185 0.000
0.000 0.000 5.034
Ba Si Os Pb
1 1 1 2
direct
0.000 0.000 0.000
0.500 0.500 0.500
0.000 0.000 0.500
0.000 0.500 0.000
0.500 0.000 0.000
```

* electronic total energy: -3.02 eV/atom
* ρ: 6.64 Mg/m³
* SG: P4/mmm, No. 123
* uncorrected formation energy: 2.175 eV/atom